Entry 1:
The following is a DFT calculation (PBE-GGA) of LiFeRh after structural relaxation.

a = 4.232 Å, b = 2.975 Å, c = 6.583 Å
α = 90.00°, β = 108.54°, γ = 90.00°
Element x y z (fractional)
Li: 0.000 0.000 0.000
Li: 0.166 0.500 0.333
Fe: 0.341 0.000 0.678
Fe: 0.668 0.000 0.336
Rh: 0.506 0.500 0.013
Rh: 0.831 0.500 0.657

The value obtained for the excess energy over the best structure of this formula in the dataset is 0.0186 eV/atom. As for the crystal system: monoclinic. As for the size of the total moment: 6.63 μB per cell. As for the formation energy: -31 meV/atom. As for the density: 7.00 g cm⁻³.

***

Entry 2:
The following is a DFT calculation (PBE-GGA) of LiFe2Rh after structural relaxation.

a = 2.592 Å, b = 2.592 Å, c = 7.859 Å
α = 90.00°, β = 90.00°, γ = 90.00°
Element x y z (fractional)
Li: 0.000 0.000 0.000
Fe: 0.000 0.000 0.492
Fe: 0.500 0.500 0.725
Rh: 0.500 0.500 0.254

As for the crystal system: tetragonal. As for the size of the total moment: 5.52 μB per cell. As for the formation energy: 116 meV/atom. As for the density: 6.97 g cm⁻³.

***

Entry 3:
The following is a DFT calculation (PBE-GGA) of LiFeRh after structural relaxation.

a = 4.829 Å, b = 4.829 Å, c = 5.081 Å
α = 118.84°, β = 118.84°, γ = 51.85°
Element x y z (fractional)
Li: 0.002 0.002 0.256
Li: 0.998 0.998 0.744
Fe: 0.333 0.333 0.748
Fe: 0.667 0.667 0.252
Rh: 0.328 0.328 0.246
Rh: 0.672 0.672 0.754

The value obtained for the excess energy over the best structure of this formula in the dataset is 0.0173 eV/atom. As for the crystal system: monoclinic. As for the size of the total moment: 7.23 μB per cell. As for the formation energy: -32 meV/atom. As for the density: 7.00 g cm⁻³.

***

Among the records above, which one has the lowest size of the total moment?
LiFe2Rh